Record 1
DFT (GGA-PBE) results for crystalline PmTlGe2 at its relaxed geometry.

Calculated values
Relative energy among the computed polymorphs in meV/atom: 545
Crystal system: trigonal
DOS(E_F) in states/eV per atom: 0.7792
Total magnetization in μB/f.u.: 0.00
DFT formation energy in eV/atom: 0.21

Cell: 4.8368 4.8368 22.0667 Å, 90.00 90.00 120.00°
Space group R-3m (No. 166, hexagonal axes)
Asymmetric unit:
Pm: 0.0000 0.0000 0.0000 [3 per cell]
Tl: 0.0000 0.0000 0.5000 [3 per cell]
Ge: 0.0000 0.0000 0.3783 [6 per cell]


Record 2
DFT (GGA-PBE) results for crystalline Rb3NaI4 at its relaxed geometry.

Calculated values
Relative energy among the computed polymorphs in meV/atom: 0
Crystal system: monoclinic
DOS(E_F) in states/eV per atom: 0.0000
Total magnetization in μB/f.u.: 0.00

Cell: 8.9163 10.2931 8.8487 Å, 90.00 109.56 90.00°
Space group P2/c (No. 13)
Asymmetric unit:
Rb: 0.0000 0.1224 0.2500 [2 per cell]
Rb: 0.0000 0.3724 0.7500 [2 per cell]
Rb: 0.5000 0.3733 0.2500 [2 per cell]
Na: 0.5000 0.1200 0.7500 [2 per cell]
I: 0.2598 0.3608 0.5141 [4 per cell]
I: 0.2778 0.1112 0.9961 [4 per cell]


Record 3
DFT (GGA-PBE) results for crystalline BePPb2 at its relaxed geometry.

Calculated values
Relative energy among the computed polymorphs in meV/atom: 204
Crystal system: monoclinic
DOS(E_F) in states/eV per atom: 0.4241
Total magnetization in μB/f.u.: 0.00
DFT formation energy in eV/atom: 0.19

Cell: 3.9771 3.6371 6.6407 Å, 90.00 107.08 90.00°
Space group Pm (No. 6)
Asymmetric unit:
Be: 0.0000 0.0000 0.0000 [1 per cell]
P: 0.9116 0.5000 0.8358 [1 per cell]
Pb: 0.2759 0.0000 0.5646 [1 per cell]
Pb: 0.5962 0.5000 0.1975 [1 per cell]